A plane-wave DFT calculation with GGA-PBE was carried out for a geometry-optimized CoCu3Ni6 structure.

Cell: 4.6619 4.6619 6.3427 Å, 90.00 90.00 120.00°
With the nearest neighbours (Å) after each atom.
Positions (direct):
Cu1 0.3333 0.6667 0.5000  6 Ni 2.45, 6 Cu 2.69
Ni1 0.5677 0.5677 0.8182  1 Co 2.32, 5 Ni 2.39, 2 Cu 2.45
Co1 0.0000 0.0000 0.0000  6 Ni 2.32
Ni2 0.0000 0.5677 0.1818  1 Co 2.32, 5 Ni 2.39, 2 Cu 2.45
Ni3 0.4323 0.0000 0.8182  1 Co 2.32, 5 Ni 2.39, 2 Cu 2.45
Ni4 0.4323 0.4323 0.1818  1 Co 2.32, 5 Ni 2.39, 2 Cu 2.45
Ni5 0.5677 0.0000 0.1818  1 Co 2.32, 5 Ni 2.39, 2 Cu 2.45
Ni6 0.0000 0.4323 0.8182  1 Co 2.32, 5 Ni 2.39, 2 Cu 2.45
Cu2 0.0000 0.0000 0.5000  6 Cu 2.69, 6 Ni 2.85
Cu3 0.6667 0.3333 0.5000  6 Ni 2.45, 6 Cu 2.69

## Properties
Total moment in Bohr magnetons per cell: 5.033
DFT formation energy in eV/atom: 0.26
Space-group type: P-31m (162)
N(E_F) in states/eV/f.u.: 11.05

***

A plane-wave DFT calculation with GGA-PBE was carried out for a geometry-optimized Sr2AgRh structure.

Cell: 3.6588 3.7062 8.7503 Å, 64.87 90.00 90.00°
With the nearest neighbours (Å) after each atom.
Positions (direct):
Sr1 0.0000 0.4739 0.5255  4 Rh 3.15-3.16, 4 Ag 3.40
Ag1 0.5000 0.2500 0.2500  8 Sr 3.40, 4 Ag 3.66-3.71
Rh1 0.5000 0.7500 0.7500  8 Sr 3.15-3.16
Sr2 0.0000 0.0261 0.9745  4 Rh 3.15-3.16, 4 Ag 3.40

## Properties
Total moment in Bohr magnetons per cell: 0.000
DFT formation energy in eV/atom: -0.22
Space-group type: P2/m (10)
N(E_F) in states/eV/f.u.: 1.31

***

A plane-wave DFT calculation with GGA-PBE was carried out for a geometry-optimized Mg8TlPb2 structure.

Cell: 4.5629 7.3514 8.5952 Å, 105.31 105.39 90.00°
With the nearest neighbours (Å) after each atom.
Positions (direct):
Mg1 0.9592 0.2736 0.9185  1 Pb 3.17, 9 Mg 3.17-3.31, 2 Tl 3.23
Mg2 0.4109 0.5444 0.8218  8 Mg 3.17-3.28, 3 Pb 3.22-3.46, 1 Tl 3.27
Pb1 0.2208 0.6545 0.4415  10 Mg 3.17-3.46, 2 Pb 3.54
Mg3 0.0408 0.7264 0.0815  1 Pb 3.17, 9 Mg 3.17-3.31, 2 Tl 3.23
Mg4 0.1384 0.1848 0.2768  7 Mg 3.21-3.32, 3 Pb 3.25-3.35, 2 Tl 3.26
Mg5 0.6776 0.9128 0.3553  3 Pb 3.17, 1 Tl 3.18, 8 Mg 3.21-3.32
Mg6 0.8616 0.8152 0.7232  7 Mg 3.21-3.32, 3 Pb 3.25-3.35, 2 Tl 3.26
Pb2 0.7792 0.3455 0.5585  10 Mg 3.17-3.46, 2 Pb 3.54
Mg7 0.3224 0.0872 0.6447  3 Pb 3.17, 1 Tl 3.18, 8 Mg 3.21-3.32
Mg8 0.5891 0.4556 0.1782  8 Mg 3.17-3.28, 3 Pb 3.22-3.46, 1 Tl 3.27
Tl1 0.5000 0.0000 0.0000  12 Mg 3.18-3.27

## Properties
Total moment in Bohr magnetons per cell: 0.000
DFT formation energy in eV/atom: -0.03
Offset from the most stable computed form in meV per atom: 0.0
Space-group type: C2/m (12)
N(E_F) in states/eV/f.u.: 5.23

***

A plane-wave DFT calculation with GGA-PBE was carried out for a geometry-optimized PaVRu structure.

Cell: 2.9208 4.4720 4.4720 Å, 120.00 90.00 90.00°
With the nearest neighbours (Å) after each atom.
Positions (direct):
V1 0.0834 0.0000 0.0000  3 Pa 2.66, 2 V 2.92, 3 Ru 2.93
Ru1 0.6124 0.3333 0.6667  3 Pa 2.73, 2 Ru 2.92, 6 V 2.93-3.01
Pa1 0.3042 0.6667 0.3333  3 V 2.66, 3 Ru 2.73, 2 Pa 2.92

## Properties
Total moment in Bohr magnetons per cell: 0.001
DFT formation energy in eV/atom: -0.01
Offset from the most stable computed form in meV per atom: 16.2
Space-group type: P3m1 (156)
N(E_F) in states/eV/f.u.: 5.27

***

A plane-wave DFT calculation with GGA-PBE was carried out for a geometry-optimized CsCr2InCl8 structure.

Cell: 7.6794 5.9871 7.3768 Å, 71.73 76.45 90.03°
With the nearest neighbours (Å) after each atom.
Positions (direct):
Cl1 0.4271 0.2347 0.5821  2 Cr 2.42-2.43
Cl2 0.2075 0.6107 0.2878  1 Cr 2.32
Cr1 0.5009 0.5042 0.2471  6 Cl 2.32-2.43
Cl3 0.5716 0.7678 0.9113  2 Cr 2.41-2.42
Cr2 0.4991 0.4958 0.7529  6 Cl 2.32-2.43
Cs1 0.0000 0.0000 0.5000  6 Cl 3.40-3.69, 2 In 3.69
Cl4 0.5729 0.7653 0.4179  2 Cr 2.42-2.43
Cl5 0.7977 0.4130 0.1944  1 Cr 2.32
Cl6 0.2023 0.5870 0.8056  1 Cr 2.32
Cl7 0.7925 0.3893 0.7122  1 Cr 2.32
Cl8 0.4284 0.2322 0.0887  2 Cr 2.41-2.42
In1 0.0000 0.0000 0.0000  6 Cl 3.31-3.55, 2 Cs 3.69

## Properties
Total moment in Bohr magnetons per cell: 6.000
Space-group type: P-1 (2)
Raw formation energy in eV/atom: -1.14

***

A plane-wave DFT calculation with GGA-PBE was carried out for a geometry-optimized CrBr structure.

Cell: 5.5440 5.5440 9.9851 Å, 59.76 59.76 35.89°
With the nearest neighbours (Å) after each atom.
Positions (direct):
Br1 0.6647 0.6647 0.9114  2 Cr 2.51
Cr1 0.3064 0.3064 0.3880  3 Br 2.52-2.73, 2 Cr 2.59
Cr2 0.9948 0.9948 0.3791  3 Cr 2.47-2.59, 1 Br 2.65
Br2 0.2807 0.2807 0.1507  2 Cr 2.52-2.65
Br3 0.5713 0.5713 0.5500  4 Cr 2.73-2.82
Cr3 0.0155 0.0155 0.1208  1 Cr 2.47, 2 Br 2.51

## Properties
Total moment in Bohr magnetons per cell: 3.581
Space-group type: Cm (8)
Raw formation energy in eV/atom: -0.02
N(E_F) in states/eV/f.u.: 0.66